{
  "formula": "CePuRhAu",
  "functional": "PBE",
  "state": "optimized geometry",
  "sg": "F-43m, No. 216",
  "rho_g_cm3": 12.57,
  "e_above_lowest_polymorph_mev_per_atom": 83,
  "energy_ev_per_atom": -8.2156,
  "dos_at_fermi_per_ev_cell": 13.40,
  "formation_energy_ev_per_atom": -0.492,
  "cell": [[5.037, 0.000, 0.000], [2.519, 4.362, 0.000], [2.519, 1.454, 4.113]],
  "species": ["Rh", "Au", "Ce", "Pu"],
  "fractional_positions": [[0.250, 0.250, 0.250], [0.750, 0.750, 0.750], [0.000, 0.000, 0.000], [0.500, 0.500, 0.500]]
}

{
  "formula": "La2MgGePt6",
  "functional": "PBE",
  "state": "optimized geometry",
  "sg": "P-1, No. 2",
  "rho_g_cm3": 12.12,
  "energy_ev_per_atom": -6.0641,
  "dos_at_fermi_per_ev_cell": 3.44,
  "formation_energy_ev_per_atom": -0.833,
  "cell": [[6.532, -0.258, -0.834], [-0.596, 6.837, 1.268], [2.130, 4.113, 5.218]],
  "species": ["La", "La", "Mg", "Ge", "Pt", "Pt", "Pt", "Pt", "Pt", "Pt"],
  "fractional_positions": [[0.210, 0.755, 0.544], [0.790, 0.245, 0.456], [0.500, 0.500, 0.000], [0.000, 0.000, 0.000], [0.239, 0.746, 0.009], [0.599, 0.750, 0.148], [0.240, 0.249, 0.507], [0.761, 0.254, 0.991], [0.401, 0.250, 0.852], [0.760, 0.751, 0.493]]
}

{
  "formula": "YMg2HIr",
  "functional": "PBE",
  "state": "optimized geometry",
  "sg": "P4/mmm, No. 123",
  "rho_g_cm3": 6.75,
  "energy_ev_per_atom": -4.7038,
  "dos_at_fermi_per_ev_cell": 2.22,
  "cell": [[-4.041, 0.635, 0.799], [0.761, -0.303, 4.086], [0.765, 4.617, 0.200]],
  "species": ["Y", "H", "Mg", "Mg", "Ir"],
  "fractional_positions": [[0.000, 0.000, 0.500], [0.000, 0.000, 0.000], [0.000, 0.500, 0.000], [0.500, 0.000, 0.000], [0.500, 0.500, 0.500]]
}

{
  "formula": "DyErLu2",
  "functional": "PBE",
  "state": "optimized geometry",
  "sg": "P4/mmm, No. 123",
  "rho_g_cm3": 9.44,
  "e_above_lowest_polymorph_mev_per_atom": 1,
  "energy_ev_per_atom": -4.5214,
  "dos_at_fermi_per_ev_cell": 5.97,
  "formation_energy_ev_per_atom": 0.030,
  "cell": [[-1.454, 3.211, -3.422], [2.592, -2.455, -3.405], [-3.936, -2.813, -0.968]],
  "species": ["Lu", "Lu", "Dy", "Er"],
  "fractional_positions": [[0.000, 0.000, 0.500], [0.000, 0.500, 0.000], [0.500, 0.500, 0.500], [0.500, 0.000, 0.000]]
}

{
  "formula": "SrLiY",
  "functional": "PBE",
  "state": "optimized geometry",
  "sg": "F-43m, No. 216",
  "rho_g_cm3": 2.64,
  "e_above_lowest_polymorph_mev_per_atom": 321,
  "energy_ev_per_atom": -2.8635,
  "dos_at_fermi_per_ev_cell": 5.34,
  "formation_energy_ev_per_atom": 0.490,
  "cell": [[5.461, 0.000, 0.000], [2.731, 4.730, 0.000], [2.731, 1.577, 4.459]],
  "species": ["Li", "Sr", "Y"],
  "fractional_positions": [[0.750, 0.750, 0.750], [0.000, 0.000, 0.000], [0.500, 0.500, 0.500]]
}

{
  "formula": "BaThGa2I8",
  "functional": "PBE",
  "state": "optimized geometry",
  "sg": "P-1, No. 2",
  "rho_g_cm3": 4.26,
  "formation_energy_uncorrected_kcal_per_mol_atoms": -24.0,
  "energy_ev_per_atom": -3.3560,
  "dos_at_fermi_per_ev_cell": 0.00,
  "cell": [[7.984, -0.078, -0.007], [-0.105, 7.529, -0.006], [0.003, 0.015, 9.881]],
  "species": ["Ba", "Th", "Ga", "Ga", "I", "I", "I", "I", "I", "I", "I", "I"],
  "fractional_positions": [[0.000, 0.000, 0.500], [0.000, 0.000, 0.000], [0.500, 0.499, 0.736], [0.500, 0.501, 0.264], [0.153, 0.761, 0.223], [0.686, 0.764, 0.000], [0.846, 0.238, 0.223], [0.847, 0.239, 0.777], [0.314, 0.236, 0.000], [0.154, 0.762, 0.777], [0.650, 0.727, 0.501], [0.350, 0.273, 0.499]]
}